Record 1
Density functional theory data (GGA-PBE) for an optimized crystal structure of PrMgZnSi.

Density of states at the Fermi level (states/eV/f.u.): 2.8
Energy relative to the elements, uncorrected (meV/atom): -241
Total energy (eV/atom): -3.509

Structure (POSCAR):
```
PrMgZnSi
1.0
0.0000 3.4992 3.4992
3.4992 0.0000 3.4992
3.4992 3.4992 0.0000
Pr Mg Zn Si
1 1 1 1
direct
0.0000 0.0000 0.0000 Pr
0.5000 0.5000 0.5000 Mg
0.2500 0.2500 0.2500 Zn
0.7500 0.7500 0.7500 Si
```

Record 2
Density functional theory data (GGA-PBE) for an optimized crystal structure of Nd3Si2AsPt9.

Density of states at the Fermi level (states/eV/f.u.): 4.4
Energy relative to the elements, uncorrected (meV/atom): -722
Total energy (eV/atom): -6.333

Structure (POSCAR):
```
Nd3Si2AsPt9
1.0
6.5151 0.0000 0.0000
-3.2576 5.6423 0.0000
0.0000 0.0000 8.5530
Nd Si As Pt
3 2 1 9
direct
0.0000 0.0000 0.0000 Nd
0.3333 0.6667 0.6967 Nd
0.6667 0.3333 0.3033 Nd
0.3333 0.6667 0.1846 Si
0.6667 0.3333 0.8154 Si
0.0000 0.0000 0.5000 As
0.0000 0.5000 0.0000 Pt
0.1456 0.2913 0.2842 Pt
0.1456 0.8544 0.2842 Pt
0.2913 0.1456 0.7158 Pt
0.5000 0.0000 0.0000 Pt
0.5000 0.5000 0.0000 Pt
0.7087 0.8544 0.2842 Pt
0.8544 0.1456 0.7158 Pt
0.8544 0.7087 0.7158 Pt
```

Record 3
Density functional theory data (GGA-PBE) for an optimized crystal structure of AlPtIO2.

Density of states at the Fermi level (states/eV/f.u.): 3.9
Energy relative to the elements, uncorrected (meV/atom): 208
Energy above the most stable polymorph in this dataset (meV per atom): 942
Total energy (eV/atom): -4.042

Structure (POSCAR):
```
AlPtIO2
1.0
4.0520 0.0000 0.0000
0.0000 4.0520 0.0000
0.0000 0.0000 5.7658
Al Pt I O
1 1 1 2
direct
0.0000 0.0000 0.0000 Al
0.5000 0.5000 0.5000 Pt
0.5000 0.5000 0.0000 I
0.0000 0.5000 0.5000 O
0.5000 0.0000 0.5000 O
```

Record 4
Density functional theory data (GGA-PBE) for an optimized crystal structure of NaTlHgH2.

Density of states at the Fermi level (states/eV/f.u.): 1.3
Total energy (eV/atom): -1.660

Structure (POSCAR):
```
NaTlHgH2
1.0
4.4335 0.0000 0.0000
0.0000 4.4335 0.0000
0.0000 0.0000 5.8810
Na Tl Hg H
1 1 1 2
direct
0.0000 0.0000 0.0000 Na
0.0000 0.0000 0.5000 Tl
0.5000 0.5000 0.5000 Hg
0.0000 0.5000 0.0000 H
0.5000 0.0000 0.0000 H
```

Record 5
Density functional theory data (GGA-PBE) for an optimized crystal structure of La7Ho3Tm2.

Density of states at the Fermi level (states/eV/f.u.): 16.6
Formation enthalpy at 0 K (meV/atom): 71
Total energy (eV/atom): -4.693

Structure (POSCAR):
```
La7Ho3Tm2
1.0
6.5095 0.0000 0.0000
0.0000 3.5685 0.0000
-1.7442 0.0000 17.6627
La Ho Tm
7 3 2
direct
0.0000 0.0000 0.0000 La
0.2249 0.5000 0.1731 La
0.2622 0.5000 0.4907 La
0.2764 0.0000 0.8316 La
0.7236 0.0000 0.1684 La
0.7378 0.5000 0.5093 La
0.7751 0.5000 0.8269 La
0.4571 0.0000 0.3376 Ho
0.5000 0.5000 0.0000 Ho
0.5429 0.0000 0.6624 Ho
0.0588 0.5000 0.6697 Tm
0.9412 0.5000 0.3303 Tm
```

Record 6
Density functional theory data (GGA-PBE) for an optimized crystal structure of Ba4LiPr3O8.

Density of states at the Fermi level (states/eV/f.u.): 5.2
Energy relative to the elements, uncorrected (meV/atom): -2537
Total energy (eV/atom): -6.513

Structure (POSCAR):
```
Ba4LiPr3O8
1.0
3.7007 2.1366 6.2530
-3.7007 2.1366 6.2530
0.0000 -4.2732 6.2530
Ba Li Pr O
4 1 3 8
direct
0.0000 0.0000 0.0000 Ba
0.0000 0.5000 0.5000 Ba
0.5000 0.0000 0.5000 Ba
0.5000 0.5000 0.0000 Ba
0.5000 0.5000 0.5000 Li
0.0000 0.0000 0.5000 Pr
0.0000 0.5000 0.0000 Pr
0.5000 0.0000 0.0000 Pr
0.2247 0.7439 0.7439 O
0.2360 0.2360 0.2360 O
0.2561 0.2561 0.7753 O
0.2561 0.7753 0.2561 O
0.7439 0.2247 0.7439 O
0.7439 0.7439 0.2247 O
0.7640 0.7640 0.7640 O
0.7753 0.2561 0.2561 O
```

Record 7
Density functional theory data (GGA-PBE) for an optimized crystal structure of KInGe.

Density of states at the Fermi level (states/eV/f.u.): 0.2
Formation enthalpy at 0 K (meV/atom): -93
Total energy (eV/atom): -2.911

Structure (POSCAR):
```
KInGe
1.0
-2.5075 4.2660 3.9976
2.5075 -4.2660 3.9976
2.5075 4.2660 -3.9976
K In Ge
2 2 2
direct
0.0000 0.0000 0.0000 K
0.6543 0.1543 0.5000 K
0.2514 0.4248 0.8266 In
0.5982 0.4248 0.1734 In
0.0789 0.7367 0.3422 Ge
0.3945 0.7367 0.6578 Ge
```

Record 8
Density functional theory data (GGA-PBE) for an optimized crystal structure of NaCuH2.

Energy above the most stable polymorph in this dataset (meV per atom): 159
Total energy (eV/atom): -2.966

Structure (POSCAR):
```
NaCuH2
1.0
3.1140 0.0000 0.0000
-1.5570 2.6968 0.0000
0.0000 0.0000 5.3275
Na Cu H
1 1 2
direct
0.0000 0.0000 0.0000 Na
0.3333 0.6667 0.5048 Cu
0.0000 0.0000 0.4287 H
0.3333 0.6667 0.8108 H
```

Look up the total energy of the second one.
-6.333 eV/atom

total energy of number 3 (AlPtIO2)?
-4.042 eV/atom

What is the total energy in the second record?
-6.333 eV/atom